No. 1
# LiScRe2 (PBE, relaxed)
data_LiScRe2
_chemical_formula_sum 'Li1 Sc1 Re2'
_space_group_name_H-M_alt 'P 4/m m m'
_space_group_IT_number 123
_space_group_name_Hall '-P 4 2'
_cell_length_a 2.637
_cell_length_b 2.637
_cell_length_c 9.122
_cell_angle_alpha 90.00
_cell_angle_beta 90.00
_cell_angle_gamma 90.00
loop_
_atom_site_label
_atom_site_type_symbol
_atom_site_fract_x
_atom_site_fract_y
_atom_site_fract_z
Li1 Li 0.000 0.000 0.000
Sc1 Sc 0.000 0.000 0.500
Re1 Re 0.500 0.500 0.244
# **Volume**: 15.85 A^3/atom
# **ΔE_f**: 0.3201 eV/atom
# **DOS at the Fermi energy**: 2.96 states/eV/cell
# **Total magnetic moment**: 0.00 Bohr magnetons per cell

---

No. 2
# PuZr2Pa (PBE, relaxed)
data_PuZr2Pa
_chemical_formula_sum 'Pu3 Zr6 Pa3'
_space_group_name_H-M_alt 'R 3 m'
_space_group_IT_number 160
_space_group_name_Hall 'R 3 -2"'
_cell_length_a 3.2572
_cell_length_b 3.2572
_cell_length_c 32.1088
_cell_angle_alpha 90.00
_cell_angle_beta 90.00
_cell_angle_gamma 120.00
loop_
_atom_site_label
_atom_site_type_symbol
_atom_site_fract_x
_atom_site_fract_y
_atom_site_fract_z
Pu1 Pu 0.0000 0.0000 0.0000
Zr1 Zr 0.0000 0.0000 0.5835
Zr2 Zr 0.0000 0.0000 0.7503
Pa1 Pa 0.0000 0.0000 0.1668
# **Volume**: 24.58 A^3/atom
# **ΔE_f**: 0.1668 eV/atom
# **DOS at the Fermi energy**: 31.87 states/eV/cell
# **Total magnetic moment**: 17.00 Bohr magnetons per cell